The following is a PBE-GGA calculation of a relaxed Cd2Os crystal, from Alexandria.

As for the energy of formation from the pure elements: 0.619 eV/atom. The total energy comes out at -3.735 eV per atom. The volume is 18.532 Å³/atom.

The space group is I4/mmm (No. 139) and the conventional cell measures 2.894, 2.894 and 13.273 Å, with angles of 90.00, 90.00 and 90.00 degrees. Symmetry generates all atoms from Cd at (0.000, 0.000, 0.155) and Os at (0.000, 0.000, 0.500).